DFT (PBE-GGA) results for a geometry-optimized Pm2SmAl9 structure.

## Properties
Space group   No. 166
Magnetic moment   0.00 μB/cell
Energy   -4.372 eV/atom
E_form   -380 meV per atom
Calculated density   4.65 g cm⁻³

Cell: 5.651 5.651 9.410 Å, 72.53 72.53 60.00°
Element x y z (fractional)
Al: 0.925 0.414 0.248
Pm: 0.142 0.142 0.575
Sm: 0.000 0.000 0.000
Al: 0.414 0.925 0.248
Al: 0.414 0.414 0.248
Pm: 0.858 0.858 0.425
Al: 0.586 0.075 0.752
Al: 0.335 0.335 0.994
Al: 0.665 0.665 0.006
Al: 0.586 0.586 0.752
Al: 0.075 0.586 0.752
Al: 0.500 0.500 0.500